Record 1
DFT (SCAN) results for AlAgOs at its PBEsol-relaxed geometry.

CIF file:
```
data_AlAgOs
_cell_length_a 2.8074
_cell_length_b 2.8074
_cell_length_c 6.5316
_cell_angle_alpha 90.00
_cell_angle_beta 90.00
_cell_angle_gamma 120.00
_symmetry_space_group_name_H-M 'P 3 m 1'
_symmetry_Int_Tables_number 156
_symmetry_space_group_name_Hall 'P 3 -2"'
loop_
_atom_site_label
_atom_site_fract_x
_atom_site_fract_y
_atom_site_fract_z
_atom_site_occupancy
Al1 0.0000 0.0000 0.0000 1
Ag1 0.3333 0.6667 0.3357 1
Os1 0.6667 0.3333 0.7005 1
```

Values from the calculation:
* E_form: 0.078 eV per atom
* ΔE to the lowest computed polymorph: 0.000 eV per atom
* size of the total moment: 0.00 μB per cell
* volume: 45 Å³/f.u.
* uncorrected energy: -36.922 eV per atom

Record 2
DFT (SCAN) results for CaBeAs2 at its PBEsol-relaxed geometry.

CIF file:
```
data_CaBeAs2
_cell_length_a 4.1725
_cell_length_b 4.1725
_cell_length_c 14.9901
_cell_angle_alpha 90.00
_cell_angle_beta 90.00
_cell_angle_gamma 120.00
_symmetry_space_group_name_H-M 'R -3 m'
_symmetry_Int_Tables_number 166
_symmetry_space_group_name_Hall '-R 3 2"'
loop_
_atom_site_label
_atom_site_fract_x
_atom_site_fract_y
_atom_site_fract_z
_atom_site_occupancy
Ca1 0.0000 0.0000 0.0000 1
Be1 0.0000 0.0000 0.5000 1
As1 0.0000 0.0000 0.2136 1
```

Values from the calculation:
* E_form: -0.297 eV per atom
* size of the total moment: 0.00 μB per cell
* volume: 75 Å³/f.u.
* uncorrected energy: -13.896 eV per atom

Record 3
DFT (SCAN) results for YBe2In2 at its PBEsol-relaxed geometry.

CIF file:
```
data_YBe2In2
_cell_length_a 4.159
_cell_length_b 4.159
_cell_length_c 10.601
_cell_angle_alpha 90.00
_cell_angle_beta 90.00
_cell_angle_gamma 90.00
_symmetry_space_group_name_H-M 'I 4/m m m'
_symmetry_Int_Tables_number 139
_symmetry_space_group_name_Hall '-I 4 2'
loop_
_atom_site_label
_atom_site_fract_x
_atom_site_fract_y
_atom_site_fract_z
_atom_site_occupancy
Y1 0.000 0.000 0.000 1
Be1 0.000 0.500 0.250 1
In1 0.000 0.000 0.371 1
```

Values from the calculation:
* E_form: -0.181 eV per atom
* size of the total moment: 0.00 μB per cell
* volume: 92 Å³/f.u.
* uncorrected energy: -20.846 eV per atom

Record 4
DFT (SCAN) results for La2TeRu at its PBEsol-relaxed geometry.

CIF file:
```
data_La2TeRu
_cell_length_a 4.783
_cell_length_b 5.507
_cell_length_c 7.817
_cell_angle_alpha 90.00
_cell_angle_beta 90.00
_cell_angle_gamma 90.00
_symmetry_space_group_name_H-M 'C m m m'
_symmetry_Int_Tables_number 65
_symmetry_space_group_name_Hall '-C 2 2'
loop_
_atom_site_label
_atom_site_fract_x
_atom_site_fract_y
_atom_site_fract_z
_atom_site_occupancy
La1 0.000 0.000 0.219 1
Te1 0.000 0.500 0.500 1
Ru1 0.000 0.500 0.000 1
```

Values from the calculation:
* uncorrected formation energy: -808 meV/atom
* ΔE to the lowest computed polymorph: 0.000 eV per atom
* size of the total moment: 0.00 μB per cell
* volume: 103 Å³/f.u.
* uncorrected energy: -40.380 eV per atom

- Which of these has the highest volume?
  La2TeRu

- Number 3 is which compound?
  YBe2In2

- Which value of volume does entry 2 give?
  75 Å³/f.u.